No. 1
A plane-wave DFT calculation with GGA-PBE was carried out for crystalline TbDy3Zn8 at its relaxed geometry.

Lattice parameters (Å, degrees): 5.5463 5.5463 8.6525 90.00 90.00 120.00
Closest atoms and distances in Å follow each position.
Space group P3m1 (No. 156)
Inequivalent atoms, fractional coordinates:
Tb 0.0000 0.0000 0.0000 x1  12 Zn 3.10-3.24, 4 Dy 3.33-3.35
Dy 0.0000 0.0000 0.3846 x1  12 Zn 3.10-3.24, 1 Tb 3.33, 3 Dy 3.36
Dy 0.6667 0.3333 0.5017 x1  12 Zn 3.10-3.24, 4 Dy 3.33-3.36
Dy 0.6667 0.3333 0.8860 x1  12 Zn 3.10-3.24, 1 Dy 3.33, 3 Tb 3.35
Zn 0.1651 0.3302 0.6924 x3  6 Zn 2.70-2.80
Zn 0.3333 0.6667 0.4430 x1  6 Zn 2.70
Zn 0.3333 0.6667 0.9431 x1  6 Zn 2.70-2.71
Zn 0.5017 0.0034 0.1935 x3  6 Zn 2.70-2.80

Summary:
E_tot in eV/atom: -2.71
Formation energy in eV per formula unit: -3.896
Energy above the most stable polymorph in this dataset in meV per atom: 10.0
Size of the total moment in μB/cell: 0.000
DOS at the Fermi energy in states/eV/atom: 0.65


No. 2
A plane-wave DFT calculation with GGA-PBE was carried out for crystalline NbPtC2 at its relaxed geometry.

Lattice parameters (Å, degrees): 5.5996 5.5996 5.5996 90.00 90.00 90.00
Closest atoms and distances in Å follow each position.
Space group Fm-3m (No. 225)
Inequivalent atoms, fractional coordinates:
Nb 0.0000 0.0000 0.0000 x4  8 C 2.42
Pt 0.0000 0.0000 0.5000 x4  8 C 2.42
C 0.2500 0.2500 0.2500 x8  4 Pt 2.42, 4 Nb 2.42

Summary:
E_tot in eV/atom: -7.54
Formation energy in eV per formula unit: 4.386
Energy above the most stable polymorph in this dataset in meV per atom: 549.9
Size of the total moment in μB/cell: 0.000
DOS at the Fermi energy in states/eV/atom: 0.63


No. 3
A plane-wave DFT calculation with GGA-PBE was carried out for crystalline BaCo2Pb at its relaxed geometry.

Lattice parameters (Å, degrees): 4.9193 5.8790 7.1467 90.00 90.00 90.00
Closest atoms and distances in Å follow each position.
Space group Immm (No. 71)
Inequivalent atoms, fractional coordinates:
Ba 0.0000 0.0000 0.0000 x2  8 Co 3.14-3.49
Co 0.0000 0.5000 0.1543 x4  1 Co 2.21
Pb 0.0000 0.0000 0.5000 x2  4 Co 2.70

Summary:
E_tot in eV/atom: -4.45
Formation energy in eV per formula unit: 2.029
Energy above the most stable polymorph in this dataset in meV per atom: 411.8
Size of the total moment in μB/cell: 5.884
DOS at the Fermi energy in states/eV/atom: 1.29


No. 4
A plane-wave DFT calculation with GGA-PBE was carried out for crystalline Hf2GeBi at its relaxed geometry.

Lattice parameters (Å, degrees): 7.0160 7.0160 7.0160 90.00 90.00 90.00
Closest atoms and distances in Å follow each position.
Space group Fm-3m (No. 225)
Inequivalent atoms, fractional coordinates:
Hf 0.2500 0.2500 0.2500 x8  4 Ge 3.04, 4 Bi 3.04
Ge 0.0000 0.0000 0.0000 x4  8 Hf 3.04
Bi 0.0000 0.0000 0.5000 x4  8 Hf 3.04

Summary:
E_tot in eV/atom: -7.13
Formation energy in eV per formula unit: -0.122
Energy above the most stable polymorph in this dataset in meV per atom: 315.4
Size of the total moment in μB/cell: 0.000
DOS at the Fermi energy in states/eV/atom: 0.91


No. 5
A plane-wave DFT calculation with GGA-PBE was carried out for crystalline NaAsRu at its relaxed geometry.

Lattice parameters (Å, degrees): 4.0290 4.0353 10.4729 100.02 90.88 119.70
Closest atoms and distances in Å follow each position.
Space group P-1 (No. 2)
Inequivalent atoms, fractional coordinates:
Na 0.1168 0.2059 0.3320 x2  3 As 2.99
As 0.2809 0.5737 0.8505 x2  4 Ru 2.41-2.44
Ru 0.3640 0.7231 0.0885 x2  4 As 2.41-2.44

Summary:
E_tot in eV/atom: -5.26
Formation energy in eV per formula unit: -0.524
Size of the total moment in μB/cell: 0.000
DOS at the Fermi energy in states/eV/atom: 0.76


No. 6
A plane-wave DFT calculation with GGA-PBE was carried out for crystalline NbCd3Pd at its relaxed geometry.

Lattice parameters (Å, degrees): 5.3470 5.3470 5.3470 90.00 90.00 90.00
Closest atoms and distances in Å follow each position.
Space group Pm-3m (No. 221)
Inequivalent atoms, fractional coordinates:
Nb 0.0000 0.0000 0.0000 x1  6 Cd 2.67
Cd 0.0000 0.0000 0.5000 x3  2 Nb 2.67
Pd 0.5000 0.5000 0.5000 x1  12 Cd 3.78

Summary:
E_tot in eV/atom: -2.31
Formation energy in eV per formula unit: 6.460
Energy above the most stable polymorph in this dataset in meV per atom: 548.1
Size of the total moment in μB/cell: 0.003
DOS at the Fermi energy in states/eV/atom: 1.21